No. 1
DFT (GGA-PBE) results for crystalline Sm2ErZn3 at its relaxed geometry.

Symmetry: No. 123
Density of states at the Fermi level: 6.94 states/eV/cell
Magnetic moment: 0.000 μB per atom
E_tot: -3.2940 eV per atom
ΔH_f (0 K): -0.324 eV/atom

Cell: 3.599 3.599 10.866 Å, 90.00 90.00 90.00°
Element x y z (fractional)
Sm (0.500, 0.500, 0.830)
Sm (0.500, 0.500, 0.170)
Er (0.500, 0.500, 0.500)
Zn (0.000, 0.000, 0.000)
Zn (0.000, 0.000, 0.656)
Zn (0.000, 0.000, 0.344)



No. 2
DFT (GGA-PBE) results for crystalline Pr6AlCo2 at its relaxed geometry.

Symmetry: No. 71
Density of states at the Fermi level: 15.11 states/eV/cell
Magnetic moment: 0.000 μB per atom
E_tot: -5.3043 eV per atom
ΔH_f (0 K): -0.123 eV/atom

Cell: 8.673 8.673 8.673 Å, 106.70 108.70 113.09°
Element x y z (fractional)
Pr (0.538, 0.717, 0.821)
Pr (0.462, 0.283, 0.179)
Pr (0.104, 0.283, 0.821)
Pr (0.896, 0.717, 0.179)
Pr (0.807, 0.759, 0.566)
Pr (0.193, 0.241, 0.434)
Pr (0.193, 0.759, 0.952)
Pr (0.807, 0.241, 0.048)
Pr (0.683, 0.357, 0.674)
Pr (0.317, 0.643, 0.326)
Pr (0.317, 0.991, 0.674)
Pr (0.683, 0.009, 0.326)
Al (0.000, 0.500, 0.500)
Al (0.000, 0.000, 0.000)
Co (0.500, 0.387, 0.887)
Co (0.500, 0.613, 0.113)
Co (0.727, 0.000, 0.727)
Co (0.273, 0.000, 0.273)



No. 3
DFT (GGA-PBE) results for crystalline La2Pm2Nd4Y at its relaxed geometry.

Symmetry: No. 12
Density of states at the Fermi level: 12.74 states/eV/cell
Magnetic moment: 0.000 μB per atom
E_tot: -4.9784 eV per atom
ΔH_f (0 K): 0.010 eV/atom

Cell: 3.711 9.799 9.862 Å, 115.15 90.00 100.92°
Element x y z (fractional)
La (0.334, 0.668, 0.000)
La (0.666, 0.332, 0.000)
Pm (0.852, 0.704, 0.333)
Pm (0.148, 0.296, 0.667)
Nd (0.815, 0.630, 0.666)
Nd (0.185, 0.370, 0.334)
Nd (0.519, 0.037, 0.333)
Nd (0.481, 0.963, 0.667)
Y (0.000, 0.000, 0.000)



No. 4
DFT (GGA-PBE) results for crystalline RbTaGe at its relaxed geometry.

Symmetry: No. 47
Density of states at the Fermi level: 1.92 states/eV/cell
Magnetic moment: 0.259 μB per atom
E_tot: -5.3569 eV per atom
ΔH_f (0 K): 0.456 eV/atom
ΔE to the lowest computed polymorph: 0.02 eV per formula unit

Cell: 3.616 3.704 6.744 Å, 90.00 90.00 90.00°
Site moments in Bohr magnetons follow the coordinates.
Element x y z (fractional)
Rb (0.000, 0.000, 0.500)  0.01
Ta (0.000, 0.500, 0.000)  0.46
Ge (0.500, 0.000, 0.000)  -0.02



No. 5
DFT (GGA-PBE) results for crystalline HRu2Rh at its relaxed geometry.

Symmetry: No. 122
Density of states at the Fermi level: 13.90 states/eV/cell
Magnetic moment: 0.000 μB per atom
E_tot: -6.9999 eV per atom
ΔE to the lowest computed polymorph: 0.85 eV per formula unit

Cell: 5.994 5.994 4.962 Å, 52.84 52.84 90.00°
Element x y z (fractional)
Ru (0.525, 0.125, 0.250)
Ru (0.225, 0.625, 0.250)
Ru (0.375, 0.475, 0.750)
Ru (0.875, 0.775, 0.750)
Rh (0.000, 0.000, 0.000)
Rh (0.750, 0.250, 0.500)
H (0.500, 0.500, 0.000)
H (0.250, 0.750, 0.500)



No. 6
DFT (GGA-PBE) results for crystalline Rb3CoBr6 at its relaxed geometry.

Symmetry: No. 225
Density of states at the Fermi level: 0.00 states/eV/cell
Magnetic moment: 0.000 μB per atom
E_tot: -3.1159 eV per atom
Uncorrected formation energy: -1.111 eV per atom
ΔE to the lowest computed polymorph: 0.28 eV per formula unit

Cell: 7.995 7.995 7.996 Å, 60.00 60.00 90.00°
Element x y z (fractional)
Co (0.500, 0.500, 0.000)
Br (0.285, 0.285, 0.429)
Br (0.715, 0.715, 0.571)
Br (0.286, 0.286, 0.000)
Br (0.714, 0.714, 0.000)
Br (0.714, 0.286, 0.000)
Br (0.286, 0.714, 0.000)
Rb (0.750, 0.250, 0.500)
Rb (0.250, 0.750, 0.500)
Rb (0.000, 0.000, 0.000)



No. 7
DFT (GGA-PBE) results for crystalline Ta2InBiO8 at its relaxed geometry.

Symmetry: No. 2
Density of states at the Fermi level: 0.00 states/eV/cell
Magnetic moment: 0.000 μB per atom
E_tot: -8.1069 eV per atom
Uncorrected formation energy: -2.274 eV per atom

Cell: 5.414 7.708 7.706 Å, 79.22 91.87 88.44°
Element x y z (fractional)
Ta (0.720, 0.819, 0.348)
Ta (0.280, 0.181, 0.652)
Ta (0.253, 0.675, 0.681)
Ta (0.747, 0.325, 0.319)
In (0.218, 0.635, 0.182)
In (0.782, 0.365, 0.818)
Bi (0.750, 0.873, 0.881)
Bi (0.250, 0.127, 0.119)
O (0.068, 0.208, 0.444)
O (0.932, 0.792, 0.556)
O (0.430, 0.396, 0.199)
O (0.570, 0.604, 0.801)
O (0.633, 0.064, 0.329)
O (0.367, 0.936, 0.671)
O (0.587, 0.300, 0.561)
O (0.413, 0.700, 0.439)
O (0.505, 0.820, 0.114)
O (0.495, 0.180, 0.886)
O (0.909, 0.318, 0.095)
O (0.091, 0.682, 0.905)
O (0.974, 0.877, 0.166)
O (0.026, 0.123, 0.834)
O (0.865, 0.560, 0.320)
O (0.135, 0.440, 0.680)



No. 8
DFT (GGA-PBE) results for crystalline KTePdI2 at its relaxed geometry.

Symmetry: No. 123
Density of states at the Fermi level: 4.66 states/eV/cell
Magnetic moment: 0.152 μB per atom
E_tot: -2.9741 eV per atom
Uncorrected formation energy: -0.468 eV per atom
ΔE to the lowest computed polymorph: 0.00 eV per formula unit

Cell: 5.743 5.743 5.307 Å, 90.00 90.00 90.00°
Site moments in Bohr magnetons follow the coordinates.
Element x y z (fractional)
I (0.000, 0.500, 0.000)  0.05
I (0.500, 0.000, 0.000)  0.05
K (0.500, 0.500, 0.500)  0.00
Te (0.000, 0.000, 0.500)  0.28
Pd (0.000, 0.000, 0.000)  0.09



No. 9
DFT (GGA-PBE) results for crystalline BeHgSb at its relaxed geometry.

Symmetry: No. 156
Density of states at the Fermi level: 1.66 states/eV/cell
Magnetic moment: 0.000 μB per atom
E_tot: -2.4005 eV per atom
Uncorrected formation energy: 0.316 eV per atom
ΔE to the lowest computed polymorph: 0.00 eV per formula unit

Cell: 4.163 4.163 4.622 Å, 90.00 90.00 120.00°
Element x y z (fractional)
Sb (0.333, 0.667, 0.807)
Hg (0.667, 0.333, 0.312)
Be (0.000, 0.000, 0.881)



No. 10
DFT (GGA-PBE) results for crystalline Ba4HfO6 at its relaxed geometry.

Symmetry: No. 167
Density of states at the Fermi level: 0.00 states/eV/cell
Magnetic moment: 0.000 μB per atom
E_tot: -7.1407 eV per atom
Uncorrected formation energy: -2.832 eV per atom

Cell: 7.464 7.464 7.464 Å, 89.61 89.61 89.61°
Element x y z (fractional)
Ba (0.750, 0.112, 0.388)
Ba (0.612, 0.250, 0.888)
Ba (0.888, 0.612, 0.250)
Ba (0.250, 0.250, 0.250)
Ba (0.750, 0.750, 0.750)
Ba (0.112, 0.388, 0.750)
Ba (0.388, 0.750, 0.112)
Ba (0.250, 0.888, 0.612)
Hf (0.500, 0.500, 0.500)
Hf (0.000, 0.000, 0.000)
O (0.927, 0.057, 0.729)
O (0.943, 0.271, 0.073)
O (0.771, 0.443, 0.573)
O (0.271, 0.073, 0.943)
O (0.427, 0.229, 0.557)
O (0.557, 0.427, 0.229)
O (0.443, 0.573, 0.771)
O (0.573, 0.771, 0.443)
O (0.729, 0.927, 0.057)
O (0.229, 0.557, 0.427)
O (0.057, 0.729, 0.927)
O (0.073, 0.943, 0.271)



No. 11
DFT (GGA-PBE) results for crystalline Mg8In3Ni2 at its relaxed geometry.

Symmetry: No. 65
Density of states at the Fermi level: 5.69 states/eV/cell
Magnetic moment: 0.000 μB per atom
E_tot: -2.5470 eV per atom
ΔH_f (0 K): -0.044 eV/atom

Cell: 4.710 8.405 8.254 Å, 120.61 90.00 90.00°
Element x y z (fractional)
Mg (0.000, 0.683, 0.367)
Mg (0.000, 0.317, 0.633)
Mg (0.000, 0.123, 0.247)
Mg (0.000, 0.877, 0.753)
Mg (0.500, 0.569, 0.709)
Mg (0.500, 0.140, 0.709)
Mg (0.500, 0.860, 0.291)
Mg (0.500, 0.431, 0.291)
In (0.500, 0.000, 0.000)
In (0.000, 0.313, 0.000)
In (0.000, 0.687, 0.000)
Ni (0.500, 0.215, 0.430)
Ni (0.500, 0.785, 0.570)